Below is a geometry-optimized TaPbNO2 structure, with properties calculated at the GGA-PBE level.

a b c (Å): 5.7783 5.6777 4.1295
angles (deg): 90.00 90.27 90.00
Space group Cm (No. 8)
Symmetry-distinct sites (fractional):
Ta  0.0000  0.0000  0.0000 x2
Pb  0.4615  0.0000  0.4919 x2
N  0.0415  0.0000  0.4719 x2
O  0.2823  0.2417  0.9699 x4

- Total magnetization: 0.00 μB/f.u.
- E_tot: -8.315 eV per atom


Below is a geometry-optimized Gd2NiPd structure, with properties calculated at the GGA-PBE level.

a b c (Å): 4.4452 5.5407 7.0760
angles (deg): 90.00 90.00 90.00
Space group Pmc2_1 (No. 26)
Symmetry-distinct sites (fractional):
Gd  0.0000  0.1077  0.0000 x2
Gd  0.5000  0.3816  0.6374 x2
Ni  0.5000  0.1062  0.2754 x2
Pd  0.0000  0.3914  0.3561 x2

- Total magnetization: 0.02 μB/f.u.
- DFT formation energy: -0.65 eV/atom
- E_tot: -5.662 eV per atom


Below is a geometry-optimized LaH3Ir structure, with properties calculated at the GGA-PBE level.

a b c (Å): 4.4809 4.1554 6.6895
angles (deg): 90.00 92.29 90.00
Space group P2/m (No. 10)
Symmetry-distinct sites (fractional):
La  0.0000  0.0000  0.0000 x1
La  0.5000  0.5000  0.5000 x1
H  0.2234  0.5000  0.1647 x2
H  0.2707  0.0000  0.3334 x2
H  0.2740  0.0000  0.6819 x2
Ir  0.0000  0.0000  0.5000 x1
Ir  0.5000  0.5000  0.0000 x1

- Total magnetization: 0.00 μB/f.u.
- E_tot: -5.308 eV per atom


Question: total magnetization of number 3 (LaH3Ir)?
Answer: 0.00 μB/f.u.